# 1
VASP calculation (PBE) on Nb3FeCl after structural relaxation.

Unit cell a=4.4993 b=4.4993 c=4.4993 alpha=90.00 beta=90.00 gamma=90.00
Last column: nearest neighbours and their distance in Å.
Space group Pm-3m (No. 221)
Unique sites:
Nb: 0.0000 0.0000 0.5000 [3 per cell]  2 Cl 2.25
Fe: 0.5000 0.5000 0.5000 [1 per cell]  12 Nb 3.18
Cl: 0.0000 0.0000 0.0000 [1 per cell]  6 Nb 2.25

=====

# 2
VASP calculation (PBE) on NbFe3Cl after structural relaxation.

Unit cell a=4.6613 b=4.6613 c=4.6613 alpha=90.00 beta=90.00 gamma=90.00
Last column: nearest neighbours and their distance in Å.
Space group Pm-3m (No. 221)
Unique sites:
Nb: 0.0000 0.0000 0.0000 [1 per cell]  6 Fe 2.33
Fe: 0.0000 0.0000 0.5000 [3 per cell]  2 Nb 2.33
Cl: 0.5000 0.5000 0.5000 [1 per cell]  12 Fe 3.30

=====

# 3
VASP calculation (PBE) on Nb2FeCl after structural relaxation.

Unit cell a=6.2969 b=6.2969 c=6.2969 alpha=90.00 beta=90.00 gamma=90.00
Last column: nearest neighbours and their distance in Å.
Space group Fm-3m (No. 225)
Unique sites:
Nb: 0.2500 0.2500 0.2500 [8 per cell]  4 Cl 2.73, 4 Fe 2.73
Fe: 0.0000 0.0000 0.0000 [4 per cell]  8 Nb 2.73
Cl: 0.0000 0.0000 0.5000 [4 per cell]  8 Nb 2.73

=====

# 4
VASP calculation (PBE) on Nb3FeCl after structural relaxation.

Unit cell a=4.6664 b=4.6664 c=4.6664 alpha=90.00 beta=90.00 gamma=90.00
Last column: nearest neighbours and their distance in Å.
Space group Pm-3m (No. 221)
Unique sites:
Nb: 0.0000 0.0000 0.5000 [3 per cell]  2 Fe 2.33
Fe: 0.0000 0.0000 0.0000 [1 per cell]  6 Nb 2.33
Cl: 0.5000 0.5000 0.5000 [1 per cell]  12 Nb 3.30

=====

Number 1: energy above the lowest structure with this stoichiometry 120.2 meV per atom, raw formation energy 495 kJ/mol of formula units, energy -7.08 eV per atom. Number 2: energy above the lowest structure with this stoichiometry 781.2 meV per atom, raw formation energy 761 kJ/mol of formula units, energy -5.88 eV per atom. Number 3: energy above the lowest structure with this stoichiometry 0.0 meV per atom, raw formation energy 171 kJ/mol of formula units, energy -7.17 eV per atom. Number 4: energy above the lowest structure with this stoichiometry 0.0 meV per atom, raw formation energy 437 kJ/mol of formula units, energy -7.20 eV per atom.